NdCoGe3 | PBE | relaxed

Raw total energy = -5.72 eV per atom
Mass density = 7564 kg/m³
Magnetic moment = 0.00 μB per formula unit

Lattice parameters (Å, degrees): 5.8135 5.8135 5.8135 136.34 136.34 63.46
Sites, in units of the cell vectors:
Nd1 0.0000 0.0000 0.0000
Co1 0.6638 0.6638 0.0000
Ge1 0.2580 0.7580 0.5000
Ge2 0.4323 0.4323 0.0000
Ge3 0.7580 0.2580 0.5000